LaBe3Pt | PBE | optimized geometry

Results
SG = P2_1/m (11)
ΔE to the lowest computed polymorph = 77 kJ/mol of formula units

Geometry as POSCAR:
```
LaBe3Pt
1.0
5.994 0.000 0.000
0.000 4.450 0.000
-2.927 0.000 5.548
La Be Pt
2 6 2
Cartesian
0.100 1.112 1.032
2.968 3.337 4.515
0.031 3.337 3.376
1.899 3.337 1.810
2.997 0.000 0.000
2.997 2.225 0.000
1.168 1.112 3.738
3.037 1.112 2.172
-1.114 1.112 3.774
4.181 3.337 1.774
```

---

KIn3O | PBE | optimized geometry

Results
SG = Pm-3m (221)
ΔE to the lowest computed polymorph = 0 kJ/mol of formula units

Geometry as POSCAR:
```
KIn3O
1.0
5.134 0.000 0.000
0.000 5.134 0.000
0.000 0.000 5.134
K In O
1 3 1
Cartesian
0.000 0.000 0.000
0.000 2.567 2.567
2.567 0.000 2.567
2.567 2.567 0.000
2.567 2.567 2.567
```

---

Ca2VGaSn | PBE | optimized geometry

Results
SG = P4/mmm (123)
Final energy = -3.62 eV per atom

Geometry as POSCAR:
```
Ca2VGaSn
1.0
5.662 0.000 0.000
0.000 5.662 0.000
0.000 0.000 5.151
Ca V Ga Sn
2 1 1 1
Cartesian
0.000 2.831 0.000
2.831 0.000 0.000
0.000 0.000 0.000
2.831 2.831 2.576
0.000 0.000 2.576
```

---

AcPaGa | PBE | optimized geometry

Results
SG = I4mm (107)
ΔE to the lowest computed polymorph = 0 kJ/mol of formula units

Geometry as POSCAR:
```
AcPaGa
1.0
3.713 0.000 0.000
0.000 3.713 0.000
0.000 0.000 12.567
Ac Pa Ga
2 2 2
Cartesian
0.000 0.000 0.000
1.857 1.857 6.283
0.000 0.000 3.658
1.857 1.857 9.941
0.000 0.000 8.387
1.857 1.857 2.104
```

---

Ti2PbO | PBE | optimized geometry

Results
SG = I-42d (122)
ΔE to the lowest computed polymorph = 4 kJ/mol of formula units

Geometry as POSCAR:
```
Ti2PbO
1.0
6.406 0.000 0.000
0.000 6.406 0.000
0.000 0.000 6.807
Ti Pb O
8 4 4
Cartesian
0.753 1.602 0.851
1.602 3.956 2.553
1.602 5.654 5.956
2.451 1.602 4.254
3.956 4.805 4.254
4.805 0.753 5.956
4.805 2.451 2.553
5.654 4.805 0.851
0.000 0.000 3.403
0.000 3.203 5.105
3.203 0.000 1.702
3.203 3.203 0.000
0.000 0.000 0.000
0.000 3.203 1.702
3.203 0.000 5.105
3.203 3.203 3.403
```

---

LiReAu2 | PBE | optimized geometry

Results
SG = R3m (160)
ΔE to the lowest computed polymorph = 69 kJ/mol of formula units

Geometry as POSCAR:
```
LiReAu2
1.0
2.811 0.000 0.000
-1.406 2.435 0.000
0.000 0.000 28.573
Li Re Au
3 3 6
Cartesian
0.000 0.000 0.000
0.000 1.623 19.049
1.406 0.812 9.524
0.000 0.000 21.363
0.000 1.623 11.838
1.406 0.812 2.314
0.000 0.000 7.264
0.000 0.000 14.185
0.000 1.623 4.661
0.000 1.623 26.313
1.406 0.812 16.789
1.406 0.812 23.709
```

---

MgSc4Os | PBE | optimized geometry

Results
SG = F-43m (216)
ΔE to the lowest computed polymorph = 375 kJ/mol of formula units

Geometry as POSCAR:
```
MgSc4Os
1.0
0.000 3.952 3.952
3.952 0.000 3.952
3.952 3.952 0.000
Mg Sc Os
1 4 1
Cartesian
0.000 0.000 0.000
2.986 2.986 2.986
4.917 4.917 2.986
4.917 2.986 4.917
2.986 4.917 4.917
5.927 5.927 5.927
```

---

TcPt2W | PBE | optimized geometry

Results
SG = F-43m (216)
ΔE to the lowest computed polymorph = 121 kJ/mol of formula units

Geometry as POSCAR:
```
TcPt2W
1.0
6.299 0.000 0.000
0.000 6.299 0.000
0.000 0.000 6.299
Tc Pt W
4 8 4
Cartesian
0.000 0.000 0.000
0.000 3.150 3.150
3.150 0.000 3.150
3.150 3.150 0.000
0.000 0.000 3.150
0.000 3.150 0.000
1.575 1.575 1.575
1.575 4.724 4.724
3.150 0.000 0.000
3.150 3.150 3.150
4.724 1.575 4.724
4.724 4.724 1.575
1.575 1.575 4.724
1.575 4.724 1.575
4.724 1.575 1.575
4.724 4.724 4.724
```

---

GeRu3S | PBE | optimized geometry

Results
SG = Pm-3m (221)
ΔE to the lowest computed polymorph = 0 kJ/mol of formula units

Geometry as POSCAR:
```
GeRu3S
1.0
4.352 0.000 0.000
0.000 4.352 0.000
0.000 0.000 4.352
Ge Ru S
1 3 1
Cartesian
0.000 0.000 0.000
0.000 2.176 2.176
2.176 0.000 2.176
2.176 2.176 0.000
2.176 2.176 2.176
```

---

La2Pr5Zn2Hg | PBE | optimized geometry

Results
SG = P4/mbm (127)
Final energy = -3.85 eV per atom

Geometry as POSCAR:
```
La2Pr5Zn2Hg
1.0
12.797 0.000 0.000
0.000 12.797 0.000
0.000 0.000 3.887
La Pr Zn Hg
4 10 4 2
Cartesian
2.324 4.075 0.000
4.075 10.473 0.000
8.723 2.324 0.000
10.473 8.723 0.000
0.000 6.399 1.943
0.677 10.227 1.943
2.570 0.677 1.943
3.829 7.076 1.943
5.721 3.829 1.943
6.399 0.000 1.943
7.076 8.969 1.943
8.969 5.721 1.943
10.227 12.120 1.943
12.120 2.570 1.943
1.666 8.065 0.000
4.733 1.666 0.000
8.065 11.131 0.000
11.131 4.733 0.000
0.000 0.000 0.000
6.399 6.399 0.000
```

---

Zr2HgSb | PBE | optimized geometry

Results
SG = Fm-3m (225)
ΔE to the lowest computed polymorph = 29 kJ/mol of formula units

Geometry as POSCAR:
```
Zr2HgSb
1.0
7.080 0.000 0.000
0.000 7.080 0.000
0.000 0.000 7.080
Zr Hg Sb
8 4 4
Cartesian
1.770 1.770 1.770
1.770 1.770 5.310
1.770 5.310 1.770
1.770 5.310 5.310
5.310 1.770 1.770
5.310 1.770 5.310
5.310 5.310 1.770
5.310 5.310 5.310
0.000 0.000 0.000
0.000 3.540 3.540
3.540 0.000 3.540
3.540 3.540 0.000
0.000 0.000 3.540
0.000 3.540 0.000
3.540 0.000 0.000
3.540 3.540 3.540
```

---

Cu2GeS4 | PBE | optimized geometry

Results
SG = I-42m (121)
Final energy = -4.39 eV per atom

Geometry as POSCAR:
```
Cu2GeS4
1.0
5.230 0.000 0.000
0.000 5.230 0.000
0.000 0.000 10.225
Cu Ge S
4 2 8
Cartesian
0.000 2.615 2.556
0.000 2.615 7.669
2.615 0.000 2.556
2.615 0.000 7.669
0.000 0.000 0.000
2.615 2.615 5.113
1.283 1.283 3.867
1.283 3.947 6.358
1.332 1.332 8.980
1.332 3.899 1.245
3.899 1.332 1.245
3.899 3.899 8.980
3.947 1.283 6.358
3.947 3.947 3.867
```